The following is a meta-GGA SCAN calculation of a PBEsol-optimized structure of KPtSCl2, from Alexandria.

```
data_KPtSCl2
_cell_length_a 5.0748
_cell_length_b 5.0748
_cell_length_c 4.4967
_cell_angle_alpha 90.00
_cell_angle_beta 90.00
_cell_angle_gamma 90.00
_space_group_name_H-M_alt 'P 1'
_space_group_IT_number 1
loop_
_space_group_symop_operation_xyz
'x,y,z'
loop_
_atom_site_label
_atom_site_fract_x
_atom_site_fract_y
_atom_site_fract_z
K1 0.0000 0.0000 0.0000
Pt1 0.5000 0.5000 0.5000
S1 0.5000 0.5000 0.0000
Cl1 0.0000 0.5000 0.5000
Cl2 0.5000 0.0000 0.5000
```

The calculation puts the calculated density at 4.83 g/cm³. Its formation energy without anion corrections is -0.778 eV per atom.

---

The following is a meta-GGA SCAN calculation of a PBEsol-optimized structure of CaNiP2O7, from Alexandria.

```
data_CaNiP2O7
_cell_length_a 7.2170
_cell_length_b 8.6022
_cell_length_c 8.9630
_cell_angle_alpha 90.00
_cell_angle_beta 116.77
_cell_angle_gamma 90.00
_space_group_name_H-M_alt 'P 1'
_space_group_IT_number 1
loop_
_space_group_symop_operation_xyz
'x,y,z'
loop_
_atom_site_label
_atom_site_fract_x
_atom_site_fract_y
_atom_site_fract_z
Ca1 0.2334 0.0474 0.3952
Ca2 0.2334 0.4526 0.8952
Ca3 0.7666 0.5474 0.1048
Ca4 0.7666 0.9526 0.6048
Ni1 0.2724 0.0714 0.8822
Ni2 0.2724 0.4286 0.3822
Ni3 0.7276 0.5714 0.6178
Ni4 0.7276 0.9286 0.1178
P1 0.0242 0.7460 0.4629
P2 0.0242 0.7540 0.9629
P3 0.4592 0.7274 0.2671
P4 0.4592 0.7726 0.7671
P5 0.5408 0.2274 0.2329
P6 0.5408 0.2726 0.7329
P7 0.9758 0.2460 0.0371
P8 0.9758 0.2540 0.5371
O1 0.0426 0.1051 0.6442
O2 0.0426 0.3949 0.1442
O3 0.0586 0.6034 0.3787
O4 0.0586 0.8966 0.8787
O5 0.1121 0.2224 0.9494
O6 0.1121 0.2776 0.4494
O7 0.2448 0.6913 0.1045
O8 0.2448 0.8087 0.6045
O9 0.3841 0.2364 0.3040
O10 0.3841 0.2636 0.8040
O11 0.4476 0.6240 0.8541
O12 0.4476 0.8760 0.3541
O13 0.4875 0.5808 0.3751
O14 0.4875 0.9192 0.8751
O15 0.5125 0.0808 0.1249
O16 0.5125 0.4192 0.6249
O17 0.5524 0.1240 0.6459
O18 0.5524 0.3760 0.1459
O19 0.6159 0.7364 0.1960
O20 0.6159 0.7636 0.6960
O21 0.7552 0.1913 0.3955
O22 0.7552 0.3087 0.8955
O23 0.8879 0.7224 0.5506
O24 0.8879 0.7776 0.0506
O25 0.9414 0.1034 0.1213
O26 0.9414 0.3966 0.6213
O27 0.9574 0.6051 0.8558
O28 0.9574 0.8949 0.3558
```

The calculation puts the offset from the most stable computed form at 0.0224 eV/atom. The calculation puts the calculated density at 3.65 g/cm³. Its formation energy without anion corrections is -2.564 eV per atom.